No. 1
Density functional theory data (SCAN) for a crystal of CrIn2PdS relaxed with PBEsol.

Unit cell a=4.5602 b=5.1610 c=5.1610 alpha=90.00 beta=90.00 gamma=90.00
Sites, in units of the cell vectors:
Cr  0.5000  0.5000  0.5000
S  0.5000  0.0000  0.0000
Pd  0.0000  0.0000  0.0000
In  0.0000  0.0000  0.5000
In  0.0000  0.5000  0.0000

## Properties
D(E_F), states/eV/cell: 2.0
Space group: P4/mmm (123)
Formation energy without anion corrections, eV per atom: 0.323
Total energy, eV per atom: -25.19
Spin magnetization, Bohr magnetons per cell: 5.15

***

No. 2
Density functional theory data (SCAN) for a crystal of KHf3Cl relaxed with PBEsol.

Unit cell a=4.9651 b=4.9651 c=4.9651 alpha=90.00 beta=90.00 gamma=90.00
Sites, in units of the cell vectors:
K  0.0000  0.0000  0.0000
Hf  0.0000  0.5000  0.0000
Hf  0.0000  0.0000  0.5000
Hf  0.5000  0.0000  0.0000
Cl  0.5000  0.5000  0.5000

## Properties
D(E_F), states/eV/cell: 2.8
Space group: Pm-3m (221)
Formation energy without anion corrections, eV per atom: 2.325
Polymorph energy (0 for the lowest one), meV per atom: 1695.2
Total energy, eV per atom: -38.54
Spin magnetization, Bohr magnetons per cell: 0.00

***

No. 3
Density functional theory data (SCAN) for a crystal of AlB2 relaxed with PBEsol.

Unit cell a=2.9962 b=2.9962 c=3.2690 alpha=90.00 beta=90.00 gamma=120.00
Sites, in units of the cell vectors:
B  0.6667  0.3333  0.5000
B  0.3333  0.6667  0.5000
Al  0.0000  0.0000  0.0000

## Properties
D(E_F), states/eV/cell: 0.5
Space group: P6/mmm (191)
Total energy, eV per atom: -7.60
Spin magnetization, Bohr magnetons per cell: 0.00

***

No. 4
Density functional theory data (SCAN) for a crystal of Tb6Br7 relaxed with PBEsol.

Unit cell a=3.6924 b=10.5197 c=10.6363 alpha=65.78 beta=80.00 gamma=79.89
Sites, in units of the cell vectors:
Br  0.3964  0.1523  0.0549
Br  0.6036  0.8477  0.9451
Br  0.1614  0.5187  0.1585
Br  0.8386  0.4813  0.8415
Br  0.0507  0.1678  0.7307
Br  0.9493  0.8322  0.2693
Br  0.5000  0.5000  0.5000
Tb  0.7740  0.3075  0.1445
Tb  0.2260  0.6925  0.8555
Tb  0.3189  0.0042  0.3581
Tb  0.6811  0.9958  0.6419
Tb  0.1280  0.3024  0.4416
Tb  0.8720  0.6976  0.5584

## Properties
D(E_F), states/eV/cell: 6.2
Space group: C2/m (12)
Formation energy without anion corrections, eV per atom: -1.432
Total energy, eV per atom: -33.49
Spin magnetization, Bohr magnetons per cell: 0.72

***

No. 5
Density functional theory data (SCAN) for a crystal of ZrCdAg2 relaxed with PBEsol.

Unit cell a=2.9915 b=3.8425 c=7.1365 alpha=90.00 beta=114.75 gamma=90.00
Sites, in units of the cell vectors:
Zr  0.0000  0.5000  0.5000
Ag  0.7537  0.0000  0.7540
Ag  0.2463  0.0000  0.2460
Cd  0.5000  0.5000  0.0000

## Properties
D(E_F), states/eV/cell: 2.3
Space group: Pmmm (47)
Total energy, eV per atom: -31.03
Spin magnetization, Bohr magnetons per cell: 0.00

***

No. 6
Density functional theory data (SCAN) for a crystal of KInP2Se6 relaxed with PBEsol.

Unit cell a=6.4602 b=7.4719 c=22.6007 alpha=98.75 beta=90.00 gamma=90.00
Sites, in units of the cell vectors:
K  0.5118  0.0535  0.7219
K  0.4882  0.9465  0.2781
K  0.0118  0.4465  0.7781
K  0.9882  0.5535  0.2219
In  0.2512  0.0411  0.9536
In  0.7488  0.9589  0.0464
In  0.7512  0.4589  0.5464
In  0.2488  0.5411  0.4536
P  0.7553  0.9520  0.8666
P  0.2447  0.0480  0.1334
P  0.2553  0.5480  0.6334
P  0.7447  0.4520  0.3666
P  0.7482  0.2482  0.9069
P  0.2518  0.7518  0.0931
P  0.2482  0.2518  0.5931
P  0.7518  0.7482  0.4069
Se  0.5745  0.1667  0.5833
Se  0.4255  0.8333  0.4167
Se  0.0745  0.3333  0.9167
Se  0.9255  0.6667  0.0833
Se  0.4144  0.6917  0.5659
Se  0.5856  0.3083  0.4341
Se  0.9144  0.8083  0.9341
Se  0.0856  0.1917  0.0659
Se  0.5878  0.2528  0.9957
Se  0.4122  0.7472  0.0043
Se  0.0878  0.2472  0.5043
Se  0.9122  0.7528  0.4957
Se  0.9334  0.9164  0.7852
Se  0.0666  0.0836  0.2148
Se  0.4334  0.5836  0.7148
Se  0.5666  0.4164  0.2852
Se  0.4265  0.8797  0.8504
Se  0.5735  0.1203  0.1496
Se  0.9265  0.6203  0.6496
Se  0.0735  0.3797  0.3504
Se  0.5768  0.3986  0.8498
Se  0.4232  0.6014  0.1502
Se  0.0768  0.1014  0.6502
Se  0.9232  0.8986  0.3498

## Properties
D(E_F), states/eV/cell: 0.0
Space group: P2_1/c (14)
Formation energy without anion corrections, eV per atom: -0.521
Total energy, eV per atom: -18.82
Spin magnetization, Bohr magnetons per cell: 0.00

***

No. 7
Density functional theory data (SCAN) for a crystal of K2Hg3C8N8O8 relaxed with PBEsol.

Unit cell a=3.9440 b=10.5739 c=10.8156 alpha=91.99 beta=94.94 gamma=94.76
Sites, in units of the cell vectors:
K  0.7880  0.5094  0.2123
K  0.2120  0.4906  0.7877
Hg  0.7174  0.1147  0.3904
Hg  0.0000  0.0000  0.0000
Hg  0.2826  0.8853  0.6096
C  0.2129  0.1544  0.6730
C  0.2121  0.2289  0.2001
C  0.2976  0.6355  0.4828
C  0.7871  0.8456  0.3270
C  0.7879  0.7711  0.7999
C  0.7059  0.2486  0.9486
C  0.2941  0.7514  0.0514
C  0.7024  0.3645  0.5172
N  0.3093  0.0808  0.5980
N  0.6907  0.9192  0.4020
N  0.7625  0.3108  0.4222
N  0.3272  0.8628  0.0303
N  0.2375  0.6892  0.5778
N  0.8165  0.8777  0.7631
N  0.1835  0.1223  0.2369
N  0.6728  0.1372  0.9697
O  0.2898  0.6406  0.0719
O  0.2392  0.3351  0.1618
O  0.3490  0.5743  0.3917
O  0.1219  0.2334  0.7414
O  0.8781  0.7666  0.2586
O  0.7102  0.3594  0.9281
O  0.6510  0.4257  0.6083
O  0.7608  0.6649  0.8382

## Properties
D(E_F), states/eV/cell: 0.0
Space group: P-1 (2)
Formation energy without anion corrections, eV per atom: -0.539
Total energy, eV per atom: -15.23
Spin magnetization, Bohr magnetons per cell: 0.00

***

No. 8
Density functional theory data (SCAN) for a crystal of Ba2GdReO6 relaxed with PBEsol.

Unit cell a=5.9459 b=5.9459 c=5.9459 alpha=60.00 beta=60.00 gamma=60.00
Sites, in units of the cell vectors:
Ba  0.2500  0.2500  0.2500
Ba  0.7500  0.7500  0.7500
Gd  0.5000  0.5000  0.5000
Re  0.0000  0.0000  0.0000
O  0.7668  0.2332  0.2332
O  0.2332  0.7668  0.7668
O  0.7668  0.2332  0.7668
O  0.2332  0.7668  0.2332
O  0.7668  0.7668  0.2332
O  0.2332  0.2332  0.7668

## Properties
D(E_F), states/eV/cell: 4.0
Space group: Fm-3m (225)
Formation energy without anion corrections, eV per atom: -2.417
Total energy, eV per atom: -27.06
Spin magnetization, Bohr magnetons per cell: 1.00